## NaErCuSe2 (GGA-PBE)

Data for a geometry-optimized NaErCuSe2 structure.

Cell lengths 7.100, 4.531, 7.847 Å; angles 90.00, 99.03, 90.00 degrees
Fractional coordinates of all 10 atoms:
Na1 0.000 0.149 0.250
Na2 0.000 0.851 0.750
Er1 0.500 0.493 0.750
Er2 0.500 0.507 0.250
Cu1 0.500 0.000 0.000
Cu2 0.500 0.000 0.500
Se1 0.235 0.323 0.965
Se2 0.235 0.677 0.465
Se3 0.765 0.323 0.535
Se4 0.765 0.677 0.035

Values from the calculation:
- Formation energy from raw total energies: -4.7 eV per formula unit
- Energy: -21.64 eV per formula unit
- Crystal system: monoclinic

***

## NaEr2CuTe4 (GGA-PBE)

Data for a geometry-optimized NaEr2CuTe4 structure.

Cell lengths 7.539, 7.539, 15.246 Å; angles 90.00, 90.00, 146.96 degrees
Fractional coordinates of all 16 atoms:
Na1 0.123 0.877 0.750
Na2 0.877 0.123 0.250
Er1 0.365 0.635 0.570
Er2 0.365 0.635 0.930
Er3 0.635 0.365 0.070
Er4 0.635 0.365 0.430
Cu1 0.154 0.846 0.250
Cu2 0.846 0.154 0.750
Te1 0.000 0.000 0.000
Te2 0.000 0.000 0.500
Te3 0.274 0.726 0.117
Te4 0.274 0.726 0.383
Te5 0.452 0.548 0.750
Te6 0.548 0.452 0.250
Te7 0.726 0.274 0.617
Te8 0.726 0.274 0.883

Values from the calculation:
- Formation energy from raw total energies: -8.6 eV per formula unit
- Energy: -35.70 eV per formula unit
- Crystal system: orthorhombic

***

## Er2NbCu (GGA-PBE)

Data for a geometry-optimized Er2NbCu structure.

Cell lengths 3.270, 3.270, 8.119 Å; angles 90.00, 90.00, 90.00 degrees
Fractional coordinates of all 4 atoms:
Er1 0.000 0.000 0.227
Er2 0.000 0.000 0.773
Nb1 0.500 0.500 0.500
Cu1 0.500 0.500 0.000

Values from the calculation:
- DFT formation energy: 0.0318 eV per atom
- Energy: -23.16 eV per formula unit
- Crystal system: tetragonal